Version 1
The following is a PBE calculation of a relaxed structure of YP3Au, from Alexandria.

Results
**Crystal system**: cubic
**DOS at the Fermi energy**: 5.4 states/eV/f.u.
**Calculated density**: 4.42 g cm⁻³

abc: 5.222 5.222 5.222
angles: 90.00 90.00 90.00
Fractional coordinates of all 5 atoms:
Y: 0.000 0.000 0.000
P: 0.000 0.000 0.500
P: 0.000 0.500 0.000
P: 0.500 0.000 0.000
Au: 0.500 0.500 0.500

Version 2
The following is a PBE calculation of a relaxed structure of YP3Au, from Alexandria.

Results
**Crystal system**: cubic
**DOS at the Fermi energy**: 3.2 states/eV/f.u.
**Calculated density**: 5.61 g cm⁻³

abc: 4.822 4.822 4.822
angles: 90.00 90.00 90.00
Fractional coordinates of all 5 atoms:
Y: 0.000 0.000 0.000
P: 0.000 0.500 0.500
P: 0.500 0.000 0.500
P: 0.500 0.500 0.000
Au: 0.500 0.500 0.500

version 2 has the most favorable energy; the next structure is 0.627 eV/atom above.